Entry 1:
TlCu2Hg: optimized geometry, GGA-PBE.

Cell and atoms, written as POSCAR:
```
TlCu2Hg
1.0
3.210 0.000 0.000
0.000 3.210 0.000
0.000 0.000 7.495
Tl Cu Hg
1 2 1
Cartesian
0.000 0.000 0.000 Tl
0.000 0.000 3.088 Cu
1.605 1.605 1.994 Cu
1.605 1.605 4.831 Hg
```

total energy	-2.51	eV/atom
polymorph energy (0 for the lowest one)	0.0	kJ per mole of atoms
space-group type	P4mm (99)
ΔE_f	0.209	eV/atom

Entry 2:
Tl2CuHg: optimized geometry, GGA-PBE.

Cell and atoms, written as POSCAR:
```
Tl2CuHg
1.0
12.034 0.000 0.000
0.000 3.294 0.000
-2.580 0.000 5.039
Tl Cu Hg
4 2 2
Cartesian
0.000 0.000 0.000 Tl
0.640 0.000 3.542 Tl
6.017 1.647 0.000 Tl
6.657 1.647 3.542 Tl
2.038 1.647 1.085 Cu
8.055 0.000 1.085 Cu
3.942 0.000 2.099 Hg
9.959 1.647 2.099 Hg
```

total energy	-2.10	eV/atom
polymorph energy (0 for the lowest one)	3.2	kJ per mole of atoms
space-group type	Cm (8)
ΔE_f	0.180	eV/atom

Entry 3:
TlCuHg: optimized geometry, GGA-PBE.

Cell and atoms, written as POSCAR:
```
TlCuHg
1.0
4.085 0.000 0.000
-2.043 3.538 0.000
0.000 0.000 5.011
Tl Cu Hg
1 1 1
Cartesian
0.000 0.000 0.000 Tl
0.000 2.359 1.521 Cu
2.043 1.179 2.830 Hg
```

total energy	-2.02	eV/atom
polymorph energy (0 for the lowest one)	8.0	kJ per mole of atoms
space-group type	P3m1 (156)
ΔE_f	0.236	eV/atom

Entry 4:
TlCu2Hg2: optimized geometry, GGA-PBE.

Cell and atoms, written as POSCAR:
```
TlCu2Hg2
1.0
8.222 0.000 0.000
0.000 8.222 0.000
0.000 0.000 2.978
Tl Cu Hg
2 4 4
Cartesian
0.000 0.000 0.000 Tl
4.111 4.111 0.000 Tl
1.334 2.777 1.489 Cu
2.777 6.888 1.489 Cu
5.445 1.334 1.489 Cu
6.888 5.445 1.489 Cu
1.114 5.226 0.000 Hg
2.997 1.114 0.000 Hg
5.226 7.108 0.000 Hg
7.108 2.997 0.000 Hg
```

total energy	-1.99	eV/atom
polymorph energy (0 for the lowest one)	7.5	kJ per mole of atoms
space-group type	P4/mbm (127)
ΔE_f	0.238	eV/atom

Entry 5:
TlCu2Hg: optimized geometry, GGA-PBE.

Cell and atoms, written as POSCAR:
```
TlCu2Hg
1.0
3.289 0.000 0.000
0.000 3.471 0.000
-0.351 0.000 6.518
Tl Cu Hg
1 2 1
Cartesian
0.000 0.000 0.000 Tl
1.473 1.735 1.869 Cu
1.465 1.735 4.649 Cu
-0.175 0.000 3.259 Hg
```

total energy	-2.44	eV/atom
polymorph energy (0 for the lowest one)	6.3	kJ per mole of atoms
space-group type	P2/m (10)
ΔE_f	0.274	eV/atom

Entry 6:
Tl2CuHg: optimized geometry, GGA-PBE.

Cell and atoms, written as POSCAR:
```
Tl2CuHg
1.0
3.290 0.000 0.000
0.000 3.290 0.000
0.000 0.000 9.150
Tl Cu Hg
2 1 1
Cartesian
0.000 0.000 0.000 Tl
1.645 1.645 3.089 Tl
0.000 0.000 5.061 Cu
1.645 1.645 6.575 Hg
```

total energy	-2.13	eV/atom
polymorph energy (0 for the lowest one)	1.0	kJ per mole of atoms
space-group type	P4mm (99)
ΔE_f	0.157	eV/atom

Entry 7:
TlCuHg: optimized geometry, GGA-PBE.

Cell and atoms, written as POSCAR:
```
TlCuHg
1.0
3.362 0.000 0.000
0.000 3.362 0.000
0.000 0.000 11.759
Tl Cu Hg
2 2 2
Cartesian
0.000 0.000 0.000 Tl
1.681 1.681 5.880 Tl
0.000 0.000 3.962 Cu
1.681 1.681 9.842 Cu
0.000 0.000 8.405 Hg
1.681 1.681 2.525 Hg
```

total energy	-2.03	eV/atom
polymorph energy (0 for the lowest one)	6.5	kJ per mole of atoms
space-group type	I4mm (107)
ΔE_f	0.220	eV/atom

Entry 8:
TlCuHg: optimized geometry, GGA-PBE.

Cell and atoms, written as POSCAR:
```
TlCuHg
1.0
12.516 0.000 0.000
0.000 4.187 0.000
-1.423 0.000 5.192
Tl Cu Hg
4 4 4
Cartesian
1.258 0.000 1.696 Tl
3.577 2.093 3.496 Tl
7.516 2.093 1.696 Tl
9.836 0.000 3.496 Tl
1.523 0.000 4.529 Cu
3.313 2.093 0.663 Cu
7.781 2.093 4.529 Cu
9.571 0.000 0.663 Cu
-0.247 2.093 4.062 Hg
5.082 0.000 1.130 Hg
6.011 0.000 4.062 Hg
11.341 2.093 1.130 Hg
```

total energy	-2.10	eV/atom
polymorph energy (0 for the lowest one)	0.0	kJ per mole of atoms
space-group type	C2/m (12)
ΔE_f	0.153	eV/atom